# 1
A geometry-optimized Fe2CuNi2 structure, computed with GGA-PBE.

Its excess energy over the best structure of this formula in the dataset is 55.3 kJ/mol of formula units.

The space group is P4/mbm (No. 127) and the conventional cell measures 6.882, 6.882 and 2.549 Å, with angles of 90.00, 90.00 and 90.00 degrees. The inequivalent atoms are Fe at (0.168, 0.332, 0.000), Cu at (0.000, 0.000, 0.500) and Ni at (0.128, 0.628, 0.500).

---

# 2
A geometry-optimized HoH3Rh structure, computed with GGA-PBE.

The calculation puts the electronic total energy at -100.3 eV/cell.

The space group is Cm (No. 8) and the conventional cell measures 11.327, 3.813 and 4.665 Å, with angles of 90.00, 90.94 and 90.00 degrees. The inequivalent atoms are Ho at (0.000, 0.000, 0.000), Ho at (0.235, 0.500, 0.511), H at (0.058, 0.500, 0.752), H at (0.168, 0.000, 0.275), H at (0.177, 0.000, 0.753), H at (0.283, 0.500, 0.012), H at (0.429, 0.000, 0.151), H at (0.446, 0.500, 0.508), Rh at (0.277, 0.000, 0.020) and Rh at (0.443, 0.000, 0.515).

---

# 3
A geometry-optimized PrCoSb2 structure, computed with GGA-PBE.

Its excess energy over the best structure of this formula in the dataset is 66.1 kJ/mol of formula units. Its uncorrected formation energy is -0.459 eV per atom.

The space group is R-3m (No. 166, hexagonal axes) and the conventional cell measures 4.1940, 4.1940 and 18.5731 Å, with angles of 90.00, 90.00 and 120.00 degrees. The inequivalent atoms are Pr at (0.0000, 0.0000, 0.0000), Co at (0.0000, 0.0000, 0.5000) and Sb at (0.0000, 0.0000, 0.2241).

---

# 4
A geometry-optimized BaLa2Sn2 structure, computed with GGA-PBE.

Its excess energy over the best structure of this formula in the dataset is 112.1 kJ/mol of formula units.

The space group is I4/mmm (No. 139) and the conventional cell measures 6.024, 6.024 and 11.762 Å, with angles of 90.00, 90.00 and 90.00 degrees. The inequivalent atoms are Ba at (0.000, 0.000, 0.000), La at (0.000, 0.000, 0.331) and Sn at (0.000, 0.500, 0.250).

---

# 5
A geometry-optimized Be2SnOsPb structure, computed with GGA-PBE.

The calculation puts the electronic total energy at -19.4 eV/cell.

The space group is P4/mmm (No. 123) and the conventional cell measures 4.504, 4.504 and 5.169 Å, with angles of 90.00, 90.00 and 90.00 degrees. The inequivalent atoms are Be at (0.000, 0.500, 0.000), Sn at (0.000, 0.000, 0.000), Os at (0.000, 0.000, 0.500) and Pb at (0.500, 0.500, 0.500).

---

# 6
A geometry-optimized RbAs3Se structure, computed with GGA-PBE.

Its excess energy over the best structure of this formula in the dataset is 0.0 kJ/mol of formula units. Its uncorrected formation energy is 0.450 eV per atom.

The space group is Pm-3m (No. 221) and the conventional cell measures 5.249, 5.249 and 5.249 Å, with angles of 90.00, 90.00 and 90.00 degrees. The inequivalent atoms are Rb at (0.000, 0.000, 0.000), As at (0.000, 0.500, 0.500) and Se at (0.500, 0.500, 0.500).

---

# 7
A geometry-optimized B3P2 structure, computed with GGA-PBE.

Its excess energy over the best structure of this formula in the dataset is 61.7 kJ/mol of formula units.

The space group is C2 (No. 5) and the conventional cell measures 6.539, 7.202 and 3.202 Å, with angles of 90.00, 119.25 and 90.00 degrees. The inequivalent atoms are B at (0.000, 0.000, 0.000), B at (0.144, 0.782, 0.140) and P at (0.190, 0.220, 0.195).

---

# 8
A geometry-optimized CePu2Rh structure, computed with GGA-PBE.

Its excess energy over the best structure of this formula in the dataset is 0.0 kJ/mol of formula units.

The space group is Fm-3m (No. 225) and the conventional cell measures 7.055, 7.055 and 7.055 Å, with angles of 90.00, 90.00 and 90.00 degrees. The inequivalent atoms are Ce at (0.000, 0.000, 0.000), Pu at (0.250, 0.250, 0.250) and Rh at (0.000, 0.000, 0.500).